Sm2ErIn3 | GGA-PBE | relaxed

Results
E_form (eV/atom): -0.4765
Crystal system: orthorhombic
Space-group type: Cmmm

Cell lengths 5.3750, 8.5027, 7.5778 Å; angles 89.99, 89.98, 71.57 degrees
Fractional coordinates of all 12 atoms:
In  0.1691  0.6621  0.7567
In  0.1688  0.6621  0.2433
In  0.8309  0.3379  0.2433
In  0.8312  0.3379  0.7567
In  0.4991  0.0000  0.2425
In  0.5009  0.0000  0.7575
Er  0.6672  0.6657  0.0000
Er  0.3328  0.3343  0.0000
Sm  0.0000  0.0000  0.5000
Sm  0.6645  0.6710  0.5000
Sm  0.3355  0.3290  0.5000
Sm  0.0000  0.0000  0.0000

***

Nd3InTe2 | GGA-PBE | relaxed

Results
Crystal system: orthorhombic
Space-group type: Cmmm
Formation energy from raw total energies (eV/atom): -0.962

Cell lengths 4.8271, 6.3244, 7.9987 Å; angles 113.29, 90.00, 90.00 degrees
Fractional coordinates of all 6 atoms:
Nd  0.5000  0.1374  0.2748
Nd  0.0000  0.5000  0.0000
Nd  0.5000  0.8626  0.7252
In  0.0000  0.0000  0.0000
Te  0.5000  0.3532  0.7065
Te  0.5000  0.6468  0.2935

***

Rb2SnCBr | GGA-PBE | relaxed

Results
Crystal system: tetragonal
Space-group type: P4/mmm
Formation energy from raw total energies (eV/atom): -0.005

Cell lengths 6.4490, 4.2133, 6.4490 Å; angles 90.00, 90.00, 90.00 degrees
Fractional coordinates of all 5 atoms:
Sn  0.0000  0.5000  0.0000
Br  0.5000  0.5000  0.5000
Rb  0.0000  0.0000  0.5000
Rb  0.5000  0.0000  0.0000
C  0.0000  0.0000  0.0000

***

MgPd12Pt7 | GGA-PBE | relaxed

Results
E_form (eV/atom): 0.5547
Crystal system: cubic
Space-group type: Im-3

Cell lengths 8.0985, 8.0985, 8.0985 Å; angles 109.47, 109.47, 109.47 degrees
Fractional coordinates of all 20 atoms:
Pt  0.5000  0.5000  0.0000
Pt  0.0000  0.0000  0.5000
Pt  0.0000  0.5000  0.5000
Pt  0.5000  0.0000  0.5000
Pt  0.5000  0.5000  0.5000
Pt  0.5000  0.0000  0.0000
Pt  0.0000  0.5000  0.0000
Pd  0.8799  0.7371  0.1428
Pd  0.2629  0.1428  0.4056
Pd  0.4056  0.2629  0.1428
Pd  0.1428  0.4056  0.2629
Pd  0.5944  0.7371  0.8572
Pd  0.1428  0.8799  0.7371
Pd  0.8572  0.1201  0.2629
Pd  0.7371  0.1428  0.8799
Pd  0.1201  0.2629  0.8572
Pd  0.7371  0.8572  0.5944
Pd  0.8572  0.5944  0.7371
Pd  0.2629  0.8572  0.1201
Mg  0.0000  0.0000  0.0000

***

La3TbCd | GGA-PBE | relaxed

Results
E_form (eV/atom): -0.0130
Crystal system: monoclinic
Space-group type: P2_1/m

Cell lengths 3.9150, 11.3809, 10.9243 Å; angles 90.00, 90.00, 133.55 degrees
Fractional coordinates of all 10 atoms:
Cd  0.7848  0.7675  0.2500
Cd  0.2152  0.2325  0.7500
La  0.2664  0.7584  0.0006
La  0.2664  0.7584  0.4994
La  0.7336  0.2416  0.5006
La  0.6452  0.4478  0.2500
La  0.7336  0.2416  0.9994
La  0.3548  0.5522  0.7500
Tb  0.1330  0.9419  0.7500
Tb  0.8670  0.0581  0.2500